[1]
This record from the Alexandria database describes Ga3TcSn at its PBEsol-relaxed geometry. The functional is SCAN.

Cell and atoms, written as POSCAR:
```
Ga3TcSn
1.0
4.789 0.000 0.000
0.000 4.789 0.000
0.000 0.000 4.789
Sn Ga Tc
1 3 1
Direct
0.500 0.500 0.500
0.000 0.000 0.500
0.500 0.000 0.000
0.000 0.500 0.000
0.000 0.000 0.000
```

Properties
* total energy: -118.676 eV per cell
* crystal system: cubic
* space group: Pm-3m
* total moment: 0.00 μB/f.u.

[2]
This record from the Alexandria database describes Be3Mo2 at its PBEsol-relaxed geometry. The functional is SCAN.

Cell and atoms, written as POSCAR:
```
Be3Mo2
1.0
-0.447 4.556 -0.108
-3.662 -2.617 0.841
3.192 -0.721 5.359
Be Mo
6 4
Direct
0.319 0.166 0.757
0.306 0.806 0.500
0.416 0.069 0.257
0.409 0.562 0.243
0.812 0.159 0.743
0.056 0.056 0.000
0.739 0.583 0.605
0.833 0.489 0.105
0.384 0.728 0.895
0.978 0.134 0.395
```

Properties
* total energy: -167.643 eV per cell
* crystal system: orthorhombic
* space group: Fdd2
* total moment: 0.00 μB/f.u.

[3]
This record from the Alexandria database describes ZrBeAl2 at its PBEsol-relaxed geometry. The functional is SCAN.

Cell and atoms, written as POSCAR:
```
ZrBeAl2
1.0
-3.525 -1.617 0.631
1.653 -3.563 0.099
0.539 0.359 3.928
Be Zr Al
1 1 2
Direct
0.500 0.500 0.500
0.000 0.000 0.500
0.000 0.500 0.000
0.500 0.000 0.000
```

Properties
* total energy: -52.104 eV per cell
* crystal system: tetragonal
* space group: P4/mmm
* total moment: 0.00 μB/f.u.

[4]
This record from the Alexandria database describes LaTa2Cu at its PBEsol-relaxed geometry. The functional is SCAN.

Cell and atoms, written as POSCAR:
```
LaTa2Cu
1.0
-3.179 -0.895 -3.264
-3.901 -2.259 1.116
-4.060 2.254 0.034
Ta Cu La
2 1 1
Direct
0.750 0.750 0.750
0.250 0.250 0.250
0.000 0.000 0.000
0.500 0.500 0.500
```

Properties
* energy above the most stable polymorph in this dataset: 0.155 eV per atom
* crystal system: cubic
* space group: Fm-3m
* total moment: 0.00 μB/f.u.

[5]
This record from the Alexandria database describes CsOsF2 at its PBEsol-relaxed geometry. The functional is SCAN.

Cell and atoms, written as POSCAR:
```
CsOsF2
1.0
3.754 0.000 0.000
1.877 3.251 0.000
1.877 1.084 6.324
F Cs Os
2 1 1
Direct
0.142 0.142 0.574
0.858 0.858 0.426
0.000 0.000 0.000
0.500 0.500 0.500
```

Properties
* energy above the most stable polymorph in this dataset: 0.000 eV per atom
* crystal system: trigonal
* space group: R-3m
* total moment: 0.00 μB/f.u.

[6]
This record from the Alexandria database describes Co2TcSe at its PBEsol-relaxed geometry. The functional is SCAN.

Cell and atoms, written as POSCAR:
```
Co2TcSe
1.0
-0.790 -1.815 -3.030
-2.910 -1.424 1.612
-2.036 2.838 -1.169
Co Se Tc
2 1 1
Direct
0.000 0.500 0.000
0.500 0.000 0.000
0.500 0.500 0.500
0.000 0.000 0.500
```

Properties
* total energy: -87.524 eV per cell
* crystal system: tetragonal
* space group: P4/mmm
* total moment: 0.00 μB/f.u.